No. 1
The following is a PBE calculation of K2FeIr after structural relaxation, from the Alexandria database.

Computed properties:
**D(E_F)**: 4.847 states/eV/cell
**DFT formation energy**: 1100 meV per atom
**Energy above the most stable polymorph in this dataset**: 0.6047 eV/atom

a b c (Å): 5.0436 5.0436 5.0436
angles (deg): 119.99 119.99 90.02
Sites, in units of the cell vectors:
K 0.2500 0.7500 0.5000
K 0.0000 0.0000 0.0000
Ir 0.7500 0.2500 0.5000
Fe 0.5000 0.5000 0.0000

=====

No. 2
The following is a PBE calculation of KMn2FeIr after structural relaxation, from the Alexandria database.

Computed properties:
**D(E_F)**: 5.241 states/eV/cell
**DFT formation energy**: 2393 meV per atom

a b c (Å): 4.5232 4.3078 4.5232
angles (deg): 90.00 90.00 90.00
Sites, in units of the cell vectors:
Ir 0.5000 0.5000 0.5000
Mn 0.5000 0.0000 0.0000
Mn 0.0000 0.0000 0.5000
K 0.0000 0.0000 0.0000
Fe 0.0000 0.5000 0.0000